Record 1
TbZr6Sc12 PBE-GGA optimized geometry; calculated volume = 24.30 Å³ per atom; ΔH_f (0 K) = 0.048 eV/atom; energy above the lowest structure with this stoichiometry = 0 meV per atom; crystal system = triclinic
1.0
7.824 0.000 0.000
3.422 7.317 0.000
1.137 1.921 8.065
Tb Zr Sc
1 6 12
Cartesian
0.000 0.000 0.000
1.692 2.650 1.996
5.264 7.993 4.529
3.620 3.697 7.164
8.762 5.541 0.901
7.119 1.245 3.536
10.690 6.589 6.070
3.397 5.507 3.133
3.996 4.185 0.334
5.985 6.909 1.615
4.208 2.545 4.205
5.818 5.170 5.495
7.463 7.810 6.727
4.919 1.428 1.338
6.564 4.068 2.570
8.175 6.693 3.860
6.397 2.329 6.451
8.386 5.053 7.731
8.985 3.731 4.933

***

Record 2
TbZr2Sc6 PBE-GGA optimized geometry; calculated volume = 25.15 Å³ per atom; ΔH_f (0 K) = 0.050 eV/atom; crystal system = hexagonal
1.0
3.309 0.000 0.000
-1.655 2.866 0.000
0.000 0.000 23.868
Tb Zr Sc
1 2 6
Cartesian
0.000 0.000 0.000
0.000 1.911 7.927
0.000 1.911 15.941
0.000 0.000 5.374
0.000 0.000 10.411
0.000 0.000 13.457
0.000 0.000 18.494
0.000 1.911 2.786
0.000 1.911 21.082

***

Record 3
TbZrSc2 PBE-GGA optimized geometry; calculated volume = 25.60 Å³ per atom; ΔH_f (0 K) = 0.059 eV/atom; energy above the lowest structure with this stoichiometry = 25 meV per atom; crystal system = trigonal
1.0
1.657 0.957 10.767
-1.657 0.957 10.767
0.000 -1.913 10.767
Tb Zr Sc
1 1 2
Cartesian
0.000 0.000 0.000
0.000 0.000 16.151
0.000 0.000 7.912
0.000 0.000 24.390

***

Record 4
Tb5Zr2Sc4 PBE-GGA optimized geometry; calculated volume = 28.41 Å³ per atom; ΔH_f (0 K) = 0.212 eV/atom; crystal system = orthorhombic
1.0
-1.672 4.312 10.835
1.672 -4.312 10.835
1.672 4.312 -10.835
Tb Zr Sc
5 2 4
Cartesian
0.000 0.000 0.000
1.672 1.805 -3.305
1.672 1.805 3.305
0.000 2.507 7.530
0.000 2.507 14.139
1.672 0.000 5.892
0.000 4.312 4.943
1.672 2.740 0.000
1.672 0.000 8.753
0.000 4.312 2.082
0.000 1.572 10.835

***

Record 5
TbZrSc2 PBE-GGA optimized geometry; calculated volume = 25.77 Å³ per atom; ΔH_f (0 K) = 0.094 eV/atom; energy above the lowest structure with this stoichiometry = 60 meV per atom; crystal system = tetragonal
1.0
3.796 0.000 0.000
0.000 3.796 0.000
0.000 0.000 7.153
Tb Zr Sc
1 1 2
Cartesian
0.000 0.000 0.000
0.000 0.000 3.577
1.898 1.898 2.002
1.898 1.898 5.151

***

Record 6
TbZr2Sc7 PBE-GGA optimized geometry; calculated volume = 24.60 Å³ per atom; ΔH_f (0 K) = 0.038 eV/atom; crystal system = triclinic
1.0
5.634 0.000 0.000
1.895 6.243 0.000
1.873 1.155 6.993
Tb Zr Sc
1 2 7
Cartesian
0.000 0.000 0.000
3.743 5.709 4.153
5.659 1.688 2.841
0.947 3.121 0.000
2.810 2.571 4.169
2.818 0.867 1.487
3.813 3.948 1.470
5.589 3.449 5.523
6.584 6.531 5.506
6.592 4.826 2.824